A relaxed structure of As2HPd2, computed with PBE.

Energy in eV for the cell shown: -46.26
SG: P4/mbm (127)
Total moment in Bohr magnetons per cell: 0.00

Lattice parameters (Å, degrees): 5.428 5.428 5.084 90.00 90.00 90.00
Fractional coordinates of all 10 atoms:
1 As 0.236 0.264 0.000
2 As 0.264 0.764 0.000
3 As 0.736 0.236 0.000
4 As 0.764 0.736 0.000
5 H 0.000 0.000 0.500
6 H 0.500 0.500 0.500
7 Pd 0.206 0.294 0.500
8 Pd 0.294 0.794 0.500
9 Pd 0.706 0.206 0.500
10 Pd 0.794 0.706 0.500

***

A relaxed structure of Pr2Al2InRh5, computed with PBE.

SG: P4/mbm (127)
Total moment in Bohr magnetons per cell: 0.00
Energy relative to the elements in eV per atom: -0.74

Lattice parameters (Å, degrees): 10.117 10.117 3.563 90.00 90.00 90.00
Fractional coordinates of all 20 atoms:
1 Pr 0.178 0.322 0.000
2 Pr 0.322 0.822 0.000
3 Pr 0.678 0.178 0.000
4 Pr 0.822 0.678 0.000
5 Al 0.120 0.620 0.000
6 Al 0.380 0.120 0.000
7 Al 0.620 0.880 0.000
8 Al 0.880 0.380 0.000
9 In 0.000 0.000 0.000
10 In 0.500 0.500 0.000
11 Rh 0.000 0.500 0.500
12 Rh 0.067 0.787 0.500
13 Rh 0.213 0.067 0.500
14 Rh 0.287 0.567 0.500
15 Rh 0.433 0.287 0.500
16 Rh 0.500 0.000 0.500
17 Rh 0.567 0.713 0.500
18 Rh 0.713 0.433 0.500
19 Rh 0.787 0.933 0.500
20 Rh 0.933 0.213 0.500